BaCa2CrF8: relaxed, GGA+U.

Properties
Calculated volume: 15.26 Å³ per atom
Space-group type: No. 10
DOS at the Fermi energy: 0.00 states/eV/cell
Magnetization: 4.00 μB per cell
Uncorrected energy: -70.394 eV for the cell shown

Lattice parameters (Å, degrees): 4.241 5.642 7.652 90.00 90.00 90.11
Fractional positions:
F: 0.500 0.752 0.000
F: 0.000 0.253 0.210
F: 0.000 0.253 0.790
F: 0.500 0.248 0.000
F: 0.000 0.747 0.790
Ca: 0.500 0.500 0.229
Cr: 0.000 0.000 0.000
Ba: 0.000 0.000 0.500
Ca: 0.500 0.500 0.771
F: 0.501 0.274 0.500
F: 0.000 0.747 0.210
F: 0.499 0.726 0.500

BaCaCrF7: relaxed, GGA+U.

Properties
Calculated volume: 14.75 Å³ per atom
Space-group type: No. 13
DOS at the Fermi energy: 0.00 states/eV/cell
Magnetization: 12.00 μB per cell
Uncorrected energy: -237.267 eV for the cell shown

Lattice parameters (Å, degrees): 5.544 5.497 19.957 75.97 90.00 90.00
Fractional positions:
F: 0.054 0.847 0.437
F: 0.946 0.847 0.937
F: 0.130 0.873 0.686
F: 0.286 0.502 0.556
Cr: 0.776 0.182 0.120
F: 0.496 0.252 0.675
F: 0.130 0.127 0.814
F: 0.630 0.736 0.691
Ba: 0.246 0.685 0.069
F: 0.024 0.648 0.824
Ba: 0.754 0.685 0.569
Ca: 0.328 0.500 0.750
F: 0.870 0.873 0.186
F: 0.409 0.972 0.939
Cr: 0.224 0.818 0.880
F: 0.976 0.648 0.324
Ba: 0.754 0.315 0.931
F: 0.976 0.352 0.176
Ca: 0.672 0.500 0.250
F: 0.370 0.736 0.191
F: 0.286 0.498 0.944
Ba: 0.246 0.315 0.431
F: 0.504 0.252 0.175
Ca: 0.208 0.000 0.250
F: 0.714 0.498 0.444
F: 0.870 0.127 0.314
F: 0.714 0.502 0.056
F: 0.496 0.748 0.825
Ca: 0.792 0.000 0.750
F: 0.054 0.153 0.063
F: 0.409 0.028 0.561
Cr: 0.224 0.182 0.620
F: 0.630 0.264 0.809
F: 0.370 0.264 0.309
F: 0.024 0.352 0.676
Cr: 0.776 0.818 0.380
F: 0.591 0.028 0.061
F: 0.946 0.153 0.563
F: 0.591 0.972 0.439
F: 0.504 0.748 0.325

Question: Which of these has the highest uncorrected energy?
Answer: BaCa2CrF8

Question: uncorrected energy of number 1 (BaCa2CrF8)?
Answer: -70.394 eV for the cell shown

Question: The highest uncorrected energy belongs to which entry?
Answer: BaCa2CrF8

Question: Number 1 is which compound?
Answer: BaCa2CrF8